1.
BaDyMg2In4 | GGA-PBE | optimized geometry Values from VASP.

Summary:
**E_form**: -0.308 eV per atom
**Spin magnetization**: 0.0 μB/f.u.
**VASP energy**: -2.892 eV/atom

Geometry as Quantum ESPRESSO input:
```
&SYSTEM
  ibrav = 0, nat = 8, ntyp = 4
/
ATOMIC_SPECIES
Ba 137.33 Ba.upf
Dy 162.50 Dy.upf
Mg 24.30 Mg.upf
In 114.82 In.upf
ATOMIC_POSITIONS crystal
Ba 0.000 0.000 0.000
Dy 0.500 0.500 0.500
Mg 0.233 0.233 0.233
Mg 0.767 0.767 0.767
In 0.123 0.123 0.123
In 0.400 0.400 0.400
In 0.600 0.600 0.600
In 0.877 0.877 0.877
CELL_PARAMETERS angstrom
2.473 1.428 11.108
-2.473 1.428 11.108
0.000 -2.855 11.108
```

---

2.
KBe3Cr | GGA-PBE | optimized geometry Values from VASP.

Summary:
**E_form**: 2.857 eV per atom
**Offset from the most stable computed form**: 1.6939 eV/atom
**Spin magnetization**: 0.0 μB/f.u.
**VASP energy**: -1.523 eV/atom

Geometry as Quantum ESPRESSO input:
```
&SYSTEM
  ibrav = 0, nat = 5, ntyp = 3
/
ATOMIC_SPECIES
K 39.10 K.upf
Be 9.01 Be.upf
Cr 52.00 Cr.upf
ATOMIC_POSITIONS crystal
K 0.000 0.000 0.000
Be 0.000 0.000 0.500
Be 0.000 0.500 0.000
Be 0.500 0.000 0.000
Cr 0.500 0.500 0.500
CELL_PARAMETERS angstrom
4.292 0.000 0.000
0.000 4.292 0.000
0.000 0.000 4.292
```

---

3.
HoTh2Re | GGA-PBE | optimized geometry Values from VASP.

Summary:
**E_form**: 0.135 eV per atom
**Spin magnetization**: 0.0 μB/f.u.
**VASP energy**: -7.832 eV/atom

Geometry as Quantum ESPRESSO input:
```
&SYSTEM
  ibrav = 0, nat = 4, ntyp = 3
/
ATOMIC_SPECIES
Ho 164.93 Ho.upf
Th 232.04 Th.upf
Re 186.21 Re.upf
ATOMIC_POSITIONS crystal
Ho 0.000 0.000 0.000
Th 0.500 0.500 0.294
Th 0.500 0.500 0.706
Re 0.000 0.000 0.500
CELL_PARAMETERS angstrom
3.547 0.000 0.000
0.000 3.547 0.000
0.000 0.000 8.683
```

---

4.
YRh2Se | GGA-PBE | optimized geometry Values from VASP.

Summary:
**Spin magnetization**: 0.0 μB/f.u.
**VASP energy**: -6.704 eV/atom

Geometry as Quantum ESPRESSO input:
```
&SYSTEM
  ibrav = 0, nat = 4, ntyp = 3
/
ATOMIC_SPECIES
Y 88.91 Y.upf
Rh 102.91 Rh.upf
Se 78.96 Se.upf
ATOMIC_POSITIONS crystal
Y 0.000 0.000 0.000
Rh 0.500 0.500 0.242
Rh 0.500 0.500 0.758
Se 0.500 0.000 0.500
CELL_PARAMETERS angstrom
3.811 0.000 0.000
0.000 3.917 0.000
-0.009 0.000 5.495
```

---

5.
LiPrDy2Se4 | GGA-PBE | optimized geometry Values from VASP.

Summary:
**Spin magnetization**: 0.0 μB/f.u.
**VASP energy**: -5.476 eV/atom

Geometry as Quantum ESPRESSO input:
```
&SYSTEM
  ibrav = 0, nat = 8, ntyp = 4
/
ATOMIC_SPECIES
Li 6.94 Li.upf
Pr 140.91 Pr.upf
Dy 162.50 Dy.upf
Se 78.96 Se.upf
ATOMIC_POSITIONS crystal
Li 0.000 0.000 0.000
Pr 0.500 0.500 0.000
Dy 0.000 0.500 0.500
Dy 0.500 0.000 0.500
Se 0.236 0.000 0.743
Se 0.243 0.500 0.253
Se 0.757 0.500 0.747
Se 0.764 0.000 0.257
CELL_PARAMETERS angstrom
7.134 0.000 0.000
0.000 4.096 0.000
-2.349 0.000 6.755
```

---

| no. | Fermi-level density of states (states/eV/f.u.) |
| --- | --- |
| 1 | 4.83 |
| 2 | 9.30 |
| 3 | 6.77 |
| 4 | 4.25 |
| 5 | 2.62 |